No. 1
# BH2S, relaxed, DFT PBE
data_BH2S
_cell_length_a 3.055
_cell_length_b 3.055
_cell_length_c 6.261
_cell_angle_alpha 75.88
_cell_angle_beta 75.88
_cell_angle_gamma 90.00
_symmetry_space_group_name_H-M 'P 1'
_symmetry_Int_Tables_number 1
loop_
_symmetry_equiv_pos_as_xyz
'x,y,z'
loop_
_atom_site_label
_atom_site_fract_x
_atom_site_fract_y
_atom_site_fract_z
S1 0.000 0.000 0.000
H1 0.376 0.625 0.250
H2 0.375 0.626 0.750
B1 0.250 0.750 0.500
B2 0.500 0.500 0.000
S2 0.750 0.250 0.500
H3 0.875 0.624 0.750
H4 0.374 0.125 0.250
# D(E_F) ... 0.52 states/eV/f.u.
# Space group ... I4_1/amd (141)

=====

No. 2
# BHS, relaxed, DFT PBE
data_BHS
_cell_length_a 3.067
_cell_length_b 5.488
_cell_length_c 6.527
_cell_angle_alpha 118.88
_cell_angle_beta 90.30
_cell_angle_gamma 90.36
_symmetry_space_group_name_H-M 'P 1'
_symmetry_Int_Tables_number 1
loop_
_symmetry_equiv_pos_as_xyz
'x,y,z'
loop_
_atom_site_label
_atom_site_fract_x
_atom_site_fract_y
_atom_site_fract_z
S1 0.248 0.001 0.306
B1 0.746 0.811 0.346
H1 0.258 0.438 0.763
S2 0.752 0.999 0.694
H2 0.742 0.562 0.237
B2 0.254 0.189 0.654
# D(E_F) ... 0.00 states/eV/f.u.
# Space group ... P-1 (2)

=====

No. 3
# B10H14S, relaxed, DFT PBE
data_B10H14S
_cell_length_a 7.137
_cell_length_b 11.849
_cell_length_c 11.902
_cell_angle_alpha 90.00
_cell_angle_beta 90.00
_cell_angle_gamma 90.00
_symmetry_space_group_name_H-M 'P 1'
_symmetry_Int_Tables_number 1
loop_
_symmetry_equiv_pos_as_xyz
'x,y,z'
loop_
_atom_site_label
_atom_site_fract_x
_atom_site_fract_y
_atom_site_fract_z
B1 0.771 0.548 0.067
H1 0.339 0.512 0.276
H2 0.024 0.115 0.757
B2 0.820 0.587 0.530
H3 0.111 0.687 0.614
H4 0.476 0.885 0.257
H5 0.693 0.726 0.976
B3 0.477 0.493 0.224
B4 0.986 0.624 0.632
B5 0.917 0.427 0.076
H6 0.287 0.282 0.894
H7 0.389 0.313 0.114
B6 0.911 0.530 0.188
S1 0.850 0.662 0.970
B7 0.023 0.507 0.724
H8 0.457 0.584 0.512
H9 0.849 0.623 0.438
H10 0.116 0.968 0.220
H11 0.611 0.813 0.386
B8 0.180 0.087 0.970
H12 0.534 0.906 0.789
H13 0.066 0.337 0.260
B9 0.839 0.411 0.693
H14 0.621 0.531 0.285
B10 0.339 0.089 0.307
B11 0.514 0.376 0.132
H15 0.889 0.187 0.886
H16 0.466 0.406 0.711
B12 0.320 0.913 0.470
H17 0.584 0.064 0.475
H18 0.957 0.916 0.488
H19 0.966 0.094 0.289
H20 0.934 0.837 0.240
H21 0.379 0.031 0.215
B13 0.561 0.617 0.714
H22 0.216 0.823 0.263
H23 0.661 0.012 0.224
B14 0.439 0.117 0.786
H24 0.916 0.936 0.975
H25 0.355 0.186 0.281
S2 0.350 0.838 0.030
H26 0.416 0.564 0.025
H27 0.307 0.226 0.524
B15 0.729 0.452 0.567
H28 0.151 0.123 0.062
H29 0.349 0.877 0.562
B16 0.486 0.876 0.368
B17 0.417 0.073 0.924
H30 0.084 0.436 0.525
H31 0.879 0.469 0.785
B18 0.271 0.952 0.933
B19 0.589 0.470 0.688
B20 0.583 0.573 0.576
B21 0.661 0.589 0.193
B22 0.411 0.970 0.812
H32 0.524 0.385 0.243
B23 0.977 0.007 0.776
B24 0.083 0.927 0.424
H33 0.145 0.814 0.781
H34 0.651 0.377 0.938
B25 0.161 0.911 0.807
H35 0.787 0.218 0.106
B26 0.061 0.883 0.286
H36 0.121 0.969 0.715
H37 0.434 0.663 0.760
H38 0.043 0.416 0.012
H39 0.284 0.177 0.763
H40 0.716 0.677 0.737
H41 0.839 0.988 0.724
B27 0.472 0.019 0.415
H42 0.384 0.032 0.720
H43 0.213 0.718 0.394
H44 0.807 0.274 0.476
B28 0.230 0.816 0.374
H45 0.161 0.488 0.776
B29 0.528 0.519 0.085
H46 0.566 0.163 0.740
B30 0.028 0.981 0.915
B31 0.523 0.993 0.276
H47 0.645 0.686 0.219
S3 0.150 0.162 0.530
B32 0.014 0.124 0.868
H48 0.193 0.774 0.024
B33 0.680 0.413 0.030
B34 0.939 0.383 0.214
H49 0.713 0.782 0.606
H50 0.976 0.615 0.743
B35 0.972 0.481 0.585
H51 0.884 0.468 0.280
H52 0.616 0.532 0.780
H53 0.034 0.594 0.211
H54 0.855 0.314 0.719
H55 0.543 0.084 0.988
B36 0.730 0.684 0.626
S4 0.650 0.338 0.470
H56 0.784 0.323 0.237
B37 0.089 0.030 0.312
B38 0.229 0.048 0.433
B39 0.270 0.184 0.874
B40 0.770 0.316 0.126
# D(E_F) ... 0.00 states/eV/f.u.
# Space group ... P2_12_12_1 (19)

=====

No. 4
# BHS3, relaxed, DFT PBE
data_BHS3
_cell_length_a 13.817
_cell_length_b 11.598
_cell_length_c 11.598
_cell_angle_alpha 25.37
_cell_angle_beta 36.51
_cell_angle_gamma 36.51
_symmetry_space_group_name_H-M 'P 1'
_symmetry_Int_Tables_number 1
loop_
_symmetry_equiv_pos_as_xyz
'x,y,z'
loop_
_atom_site_label
_atom_site_fract_x
_atom_site_fract_y
_atom_site_fract_z
S1 0.687 0.974 0.967
H1 0.285 0.579 0.861
S2 0.108 0.396 0.327
S3 0.892 0.604 0.673
S4 0.608 0.327 0.396
H2 0.715 0.421 0.139
H3 0.215 0.139 0.421
S5 0.923 0.391 0.387
B1 0.250 0.224 0.776
H4 0.785 0.861 0.579
S6 0.577 0.613 0.609
B2 0.250 0.769 0.231
S7 0.813 0.033 0.026
S8 0.187 0.967 0.974
S9 0.392 0.673 0.604
B3 0.750 0.776 0.224
B4 0.750 0.231 0.769
S10 0.423 0.387 0.391
S11 0.313 0.026 0.033
S12 0.077 0.609 0.613
# D(E_F) ... 0.00 states/eV/f.u.
# Space group ... C2/c (15)

=====

Number 1: energy relative to the lowest polymorph listed for this composition 94.60 kJ per mole of atoms. Number 2: energy relative to the lowest polymorph listed for this composition 0.00 kJ per mole of atoms. Number 3: energy relative to the lowest polymorph listed for this composition 0.00 kJ per mole of atoms. Number 4: energy relative to the lowest polymorph listed for this composition 0.00 kJ per mole of atoms.